# Tb6CuPd5

Crystalline Tb6CuPd5 at its relaxed geometry (GGA-PBE, Alexandria).

Properties
space-group type = Immm (71)
energy relative to the elements = -0.7603 eV per atom
D(E_F) = 0.670 states/eV/atom

a = 8.633 Å, b = 8.633 Å, c = 8.633 Å
α = 146.42°, β = 131.98°, γ = 59.87°
Fractional positions:
Tb: 0.084 0.334 0.750
Tb: 0.250 0.000 0.250
Tb: 0.416 0.666 0.750
Tb: 0.584 0.334 0.250
Tb: 0.750 0.000 0.750
Tb: 0.916 0.666 0.250
Cu: 0.500 0.500 0.000
Pd: 0.000 0.500 0.500
Pd: 0.169 0.169 0.000
Pd: 0.334 0.834 0.500
Pd: 0.666 0.166 0.500
Pd: 0.831 0.831 0.000